(1)
The following is a PBE calculation of a relaxed structure of Sm2Ni3SnGe4, from Alexandria.

Cell lengths 4.176, 4.176, 10.375 Å; angles 90.00, 90.00, 90.00 degrees
Element x y z (fractional)
Ni: 0.000 0.000 0.500
Ge: 0.000 0.000 0.000
Ni: 0.000 0.500 0.114
Ge: 0.000 0.500 0.337
Ge: 0.500 0.000 0.663
Sm: 0.500 0.000 0.231
Ni: 0.500 0.000 0.886
Sm: 0.000 0.500 0.769
Sn: 0.500 0.500 0.500
Ge: 0.500 0.500 0.000

Properties
Density of states at the Fermi level   3.677 states/eV/f.u.
Formation enthalpy at 0 K   -0.568 eV/atom
Calculated volume   18.10 A^3/atom

***

(2)
The following is a PBE calculation of a relaxed structure of HgBMoBr2, from Alexandria.

Cell lengths 5.262, 4.215, 5.262 Å; angles 90.00, 90.00, 90.00 degrees
Element x y z (fractional)
Mo: 0.000 0.000 0.000
B: 0.000 0.500 0.000
Br: 0.000 0.000 0.500
Hg: 0.500 0.500 0.500
Br: 0.500 0.000 0.000

Properties
Density of states at the Fermi level   3.968 states/eV/f.u.
Calculated volume   23.34 A^3/atom
Excess energy over the best structure of this formula in the dataset   0 kJ/mol of formula units

***

(3)
The following is a PBE calculation of a relaxed structure of Sr4Fe2Sn, from Alexandria.

Cell lengths 6.400, 6.400, 8.692 Å; angles 68.40, 68.40, 90.00 degrees
Element x y z (fractional)
Fe: 0.430 0.430 0.140
Fe: 0.570 0.570 0.860
Sr: 0.000 0.500 0.000
Sr: 0.500 0.000 0.000
Sr: 0.784 0.784 0.432
Sn: 0.000 0.000 0.000
Sr: 0.216 0.216 0.568

Properties
Density of states at the Fermi level   6.639 states/eV/f.u.
Formation enthalpy at 0 K   0.403 eV/atom
Calculated volume   43.42 A^3/atom

***

(4)
The following is a PBE calculation of a relaxed structure of CaPmAu2, from Alexandria.

Cell lengths 3.688, 3.688, 7.321 Å; angles 90.00, 90.00, 90.00 degrees
Element x y z (fractional)
Au: 0.000 0.000 0.238
Pm: 0.500 0.500 0.000
Au: 0.000 0.000 0.762
Ca: 0.500 0.500 0.500

Properties
Density of states at the Fermi level   2.920 states/eV/f.u.
Formation enthalpy at 0 K   -0.797 eV/atom
Calculated volume   24.90 A^3/atom
Excess energy over the best structure of this formula in the dataset   6 kJ/mol of formula units

***

(5)
The following is a PBE calculation of a relaxed structure of Cs2CuPdF6, from Alexandria.

Cell lengths 6.233, 6.233, 10.981 Å; angles 73.51, 73.51, 60.00 degrees
Element x y z (fractional)
Cs: 0.128 0.128 0.617
Cs: 0.872 0.872 0.383
F: 0.402 0.402 0.353
Cu: 0.406 0.406 0.781
F: 0.701 0.207 0.885
F: 0.156 0.598 0.647
Pd: 0.000 0.000 0.000
Cs: 0.713 0.713 0.862
F: 0.793 0.793 0.115
F: 0.299 0.793 0.115
F: 0.207 0.207 0.885
F: 0.598 0.156 0.647
F: 0.844 0.402 0.353
F: 0.207 0.701 0.885
F: 0.598 0.598 0.647
F: 0.402 0.844 0.353
Cu: 0.594 0.594 0.219
Pd: 0.500 0.500 0.500
F: 0.793 0.299 0.115
Cs: 0.287 0.287 0.138

Properties
VASP energy   -83.29 eV per cell
Density of states at the Fermi level   5.181 states/eV/f.u.
Calculated volume   17.46 A^3/atom

***

(6)
The following is a PBE calculation of a relaxed structure of RbCeDy4S8, from Alexandria.

Cell lengths 8.257, 8.257, 8.396 Å; angles 60.55, 60.55, 60.00 degrees
Element x y z (fractional)
S: 0.232 0.752 0.264
S: 0.757 0.757 0.729
S: 0.752 0.752 0.264
S: 0.806 0.236 0.722
S: 0.236 0.806 0.722
S: 0.752 0.232 0.264
S: 0.230 0.230 0.309
Dy: 0.005 0.487 0.503
S: 0.236 0.236 0.722
Dy: 0.005 0.005 0.503
Ce: 0.004 0.004 0.988
Dy: 0.626 0.626 0.123
Dy: 0.487 0.005 0.503
Rb: 0.372 0.372 0.884

Properties
VASP energy   -84.61 eV per cell
Density of states at the Fermi level   8.203 states/eV/f.u.
Calculated volume   29.15 A^3/atom